A plane-wave DFT calculation with PBE-GGA was carried out for a geometry-optimized Tm5InGa2 structure.

It has space group I4/mcm (No. 140), with a = 7.649 Å, b = 7.649 Å, c = 14.073 Å, α = 90.00°, β = 90.00° and γ = 90.00°. The distinct sites, in fractional coordinates, are Tm at (0.000, 0.000, 0.000), Tm at (0.165, 0.335, 0.144), In at (0.000, 0.000, 0.250) and Ga at (0.126, 0.374, 0.500).

For the density of states at the Fermi level, the calculation gives 0.676 states/eV/atom. The formation energy is -0.479 eV per atom. The total energy is -4.373 eV per atom.

A plane-wave DFT calculation with PBE-GGA was carried out for a geometry-optimized Tm8In3Ga2 structure.

It has space group Cmmm (No. 65), with a = 8.795 Å, b = 15.349 Å, c = 5.271 Å, α = 90.00°, β = 90.00° and γ = 90.00°. The distinct sites, in fractional coordinates, are Tm at (0.000, 0.111, 0.000), Tm at (0.000, 0.317, 0.000), Tm at (0.217, 0.373, 0.500), In at (0.000, 0.000, 0.500), In at (0.180, 0.500, 0.000) and Ga at (0.000, 0.227, 0.500).

For the density of states at the Fermi level, the calculation gives 0.959 states/eV/atom. The formation energy is -0.235 eV per atom. The total energy is -4.084 eV per atom.

A plane-wave DFT calculation with PBE-GGA was carried out for a geometry-optimized Tm2InGa structure.

It has space group R-3m (No. 166, hexagonal axes), with a = 3.5929 Å, b = 3.5929 Å, c = 27.5994 Å, α = 90.00°, β = 90.00° and γ = 120.00°. The distinct sites, in fractional coordinates, are Tm at (0.0000, 0.0000, 0.2438), In at (0.0000, 0.0000, 0.0000) and Ga at (0.0000, 0.0000, 0.5000).

For the density of states at the Fermi level, the calculation gives 0.772 states/eV/atom. The formation energy is -0.374 eV per atom. The total energy is -4.051 eV per atom.